A plane-wave DFT calculation with PBE-GGA was carried out for a geometry-optimized Er4Se2S5 structure.

Output
Raw formation energy (eV/atom): -1.50

```
11
Lattice="10.6945 -1.9842 0.0000 10.6945 1.9842 0.0000 -0.6237 0.0000 7.8072" Properties=species:S:1:pos:R:3 pbc="T T T"
Er 0.6561 0.0000 2.3147
Er 6.1251 0.0000 6.9261
Er 14.6403 0.0000 0.8811
Er 20.1093 0.0000 5.4925
Se 3.4131 0.0000 6.6767
Se 17.3523 0.0000 1.1305
S 0.4794 0.0000 7.5360
S 3.1510 0.0000 2.5730
S 10.3827 0.0000 3.9036
S 17.6144 0.0000 5.2342
S 20.2860 0.0000 0.2712
```